Density functional theory data (PBE+U) for a relaxed Na3Ce3CoO8 crystal.

SG   R-3m, No. 166
DFT total energy   -6.88 eV per atom
Volume   229 Å³ per cell

abc: 6.823 6.823 6.823
angles: 60.91 60.91 60.91
Positions (direct):
Na: 0.000 0.500 0.500
Na: 0.500 0.000 0.500
Na: 0.500 0.500 0.000
Ce: 0.000 0.000 0.500
Ce: 0.000 0.500 0.000
Ce: 0.500 0.000 0.000
Co: 0.500 0.500 0.500
O: 0.240 0.240 0.240
O: 0.241 0.728 0.728
O: 0.272 0.272 0.759
O: 0.272 0.759 0.272
O: 0.728 0.241 0.728
O: 0.728 0.728 0.241
O: 0.759 0.272 0.272
O: 0.760 0.760 0.760